# 1
The following is a DFT calculation (PBE-GGA) of a relaxed structure of Ba3Mo2N4.

a = 6.3387 Å, b = 7.3302 Å, c = 7.8192 Å
α = 87.98°, β = 89.87°, γ = 87.46°
With the nearest neighbours (Å) after each atom.
Space group P-1 (No. 2)
Symmetry-distinct sites (fractional):
Ba 0.0139 0.0829 0.2416  3 N 2.68-2.87
Ba 0.2553 0.5241 0.9502  4 N 2.78-3.11
Ba 0.4776 0.2666 0.4434  4 N 2.69-2.87
Mo 0.0324 0.6414 0.3776  4 N 1.97-2.16
Mo 0.4841 0.1154 0.8524  4 N 1.91-2.09
N 0.1454 0.5864 0.6086  2 Mo 1.97-2.06
N 0.2286 0.2082 0.7453  1 Mo 1.91
N 0.2775 0.7767 0.2608  2 Mo 1.94-2.07
N 0.4903 0.1668 0.1024  2 Mo 2.00-2.09

=====

# 2
The following is a DFT calculation (PBE-GGA) of a relaxed structure of Ba2NbMoN5.

a = 3.4155 Å, b = 15.7358 Å, c = 11.5537 Å
α = 90.00°, β = 90.00°, γ = 90.00°
With the nearest neighbours (Å) after each atom.
Space group Cmc2_1 (No. 36)
Symmetry-distinct sites (fractional):
Ba 0.0000 0.1161 0.0000  6 N 2.76-3.02
Ba 0.0000 0.1365 0.6456  6 N 2.77-2.95
Nb 0.0000 0.2129 0.3583  1 N 1.85
Mo 0.0000 0.4417 0.7658  4 N 1.79-1.96
N 0.0000 0.0373 0.3434  2 Mo 1.96
N 0.0000 0.2938 0.9601  2 Nb 2.08
N 0.0000 0.3270 0.7197  1 Mo 1.88
N 0.0000 0.3283 0.3281  1 Nb 1.85
N 0.0000 0.4979 0.6315  1 Mo 1.79

=====

# 3
The following is a DFT calculation (PBE-GGA) of a relaxed structure of BaNdMoN3.

a = 13.8547 Å, b = 4.0238 Å, c = 7.6736 Å
α = 90.00°, β = 105.33°, γ = 90.00°
With the nearest neighbours (Å) after each atom.
Space group C2/m (No. 12)
Symmetry-distinct sites (fractional):
Ba 0.1402 0.0000 0.0735  7 N 2.86-3.03
Nd 0.1579 0.0000 0.5700  7 N 2.47-2.71
Mo 0.0026 0.5000 0.6869  3 N 1.91-2.02
N 0.0049 0.0000 0.2983  2 Mo 2.02
N 0.1434 0.5000 0.7982  1 Mo 1.91
N 0.1573 0.5000 0.3578  1 Mo 2.15

=====

Computed values of calculated total energy (unit: eV/atom) for the preceding records, in sequence: -7.2251; -8.1090; -7.8825.
Computed values of energy relative to the elements, uncorrected (unit: eV per atom) for the preceding records, in sequence: -0.4771; -0.7343; -0.7995.